Entry 1:
VASP calculation (GGA-PBE) on an optimized crystal structure of Cs4TlI2.

## Properties
formation energy without anion corrections = -666 meV/atom

Unit cell a=7.1082 b=7.1082 c=20.4584 alpha=90.00 beta=90.00 gamma=90.00
Closest atoms and distances in Å follow each position.
Space group I4/mmm (No. 139)
Unique sites:
Cs (0.0000, 0.0000, 0.1892)  1 I 3.74, 1 Tl 3.87
Cs (0.0000, 0.5000, 0.0000)  2 Tl 3.55
Tl (0.0000, 0.0000, 0.0000)  6 Cs 3.55-3.87
I (0.0000, 0.0000, 0.3719)  1 Cs 3.74

***

Entry 2:
VASP calculation (GGA-PBE) on an optimized crystal structure of Ti2RuCS.

## Properties
formation energy without anion corrections = 479 meV/atom

Unit cell a=4.7931 b=4.7931 c=3.7666 alpha=90.00 beta=90.00 gamma=90.00
Closest atoms and distances in Å follow each position.
Space group P4/mmm (No. 123)
Unique sites:
Ti (0.0000, 0.5000, 0.0000)  2 Ru 2.40
Ru (0.0000, 0.0000, 0.0000)  2 C 1.88
C (0.0000, 0.0000, 0.5000)  2 Ru 1.88
S (0.5000, 0.5000, 0.5000)  8 Ti 3.05, 4 C 3.39

***

Entry 3:
VASP calculation (GGA-PBE) on an optimized crystal structure of BaHgSCl2.

## Properties
polymorph energy (0 for the lowest one) = 0 meV/atom
formation energy without anion corrections = -1159 meV/atom

Unit cell a=5.3737 b=5.3737 c=5.0789 alpha=90.00 beta=90.00 gamma=90.00
Closest atoms and distances in Å follow each position.
Space group P4/mmm (No. 123)
Unique sites:
Ba (0.0000, 0.0000, 0.0000)  8 Cl 3.70, 4 S 3.80
Hg (0.5000, 0.5000, 0.5000)  2 S 2.54, 4 Cl 2.69
S (0.5000, 0.5000, 0.0000)  2 Hg 2.54
Cl (0.0000, 0.5000, 0.5000)  2 Hg 2.69

***

Entry 4:
VASP calculation (GGA-PBE) on an optimized crystal structure of Cr2NiBr.

## Properties
polymorph energy (0 for the lowest one) = 54 meV/atom
formation energy without anion corrections = 419 meV/atom

Unit cell a=3.1960 b=3.1960 c=6.1754 alpha=90.00 beta=90.00 gamma=90.00
Closest atoms and distances in Å follow each position.
Space group P4mm (No. 99)
Unique sites:
Cr (0.0000, 0.0000, 0.0000)  1 Ni 2.49, 4 Cr 2.66
Cr (0.5000, 0.5000, 0.2257)  4 Ni 2.51, 4 Cr 2.66
Ni (0.0000, 0.0000, 0.4029)  5 Cr 2.49-2.51
Br (0.5000, 0.5000, 0.6870)  5 Cr 2.85-2.97, 4 Ni 2.86

***

Entry 5:
VASP calculation (GGA-PBE) on an optimized crystal structure of PmPd2Au.

## Properties
polymorph energy (0 for the lowest one) = 164 meV/atom

Unit cell a=3.6276 b=3.6276 c=5.9828 alpha=90.00 beta=90.00 gamma=90.00
Closest atoms and distances in Å follow each position.
Space group P4/mmm (No. 123)
Unique sites:
Pm (0.0000, 0.0000, 0.0000)  2 Au 2.99, 8 Pd 3.01
Pd (0.5000, 0.5000, 0.2634)  2 Pd 2.83-3.15, 4 Au 2.93, 4 Pm 3.01
Au (0.0000, 0.0000, 0.5000)  8 Pd 2.93, 2 Pm 2.99

***

Entry 6:
VASP calculation (GGA-PBE) on an optimized crystal structure of BaNpSeO2.

## Properties
formation energy without anion corrections = -2505 meV/atom

Unit cell a=4.3719 b=4.3719 c=6.0350 alpha=90.00 beta=90.00 gamma=90.00
Closest atoms and distances in Å follow each position.
Space group P4mm (No. 99)
Unique sites:
Ba (0.0000, 0.0000, 0.0000)  4 O 2.86
Np (0.5000, 0.5000, 0.3601)  4 O 2.21
Se (0.5000, 0.5000, 0.8394)  2 Np 2.89-3.14
O (0.0000, 0.5000, 0.3047)  2 Np 2.21

***

Taking the records one at a time from the top gives Fermi-level density of states values of 9.55, 4.87, 0.48, 2.50, 2.24, 8.88 states/eV per cell.